# NaAc2Tm

A relaxed structure of NaAc2Tm (GGA-PBE, Alexandria).

Results
Polymorph energy (0 for the lowest one) ... 0 meV/atom
Formation energy from the elements ... 0.121 eV/atom
Calculated total energy ... -3.381 eV/atom
Total magnetization ... 0.0 μB/f.u.

Cell and atoms, written as CIF:
```
data_NaAc2Tm
_cell_length_a 4.1748
_cell_length_b 4.1748
_cell_length_c 9.2325
_cell_angle_alpha 90.00
_cell_angle_beta 90.00
_cell_angle_gamma 90.00
_symmetry_space_group_name_H-M 'P 4/m m m'
_symmetry_Int_Tables_number 123
_symmetry_space_group_name_Hall '-P 4 2'
loop_
_atom_site_label
_atom_site_type_symbol
_atom_site_fract_x
_atom_site_fract_y
_atom_site_fract_z
Na1 Na 0.0000 0.0000 0.0000
Ac1 Ac 0.5000 0.5000 0.2694
Tm1 Tm 0.0000 0.0000 0.5000
```